Record 1
Below is a relaxed Er5ZrIn6 crystal, with properties calculated at the PBE level.

Lattice parameters (Å, degrees): 5.2996 9.0853 9.0855 120.73 107.01 107.00
Last column: nearest neighbours and their distance in Å.
Element x y z (fractional)
In1 0.7538 0.5897 0.9181  1 Zr 3.15, 7 Er 3.18-3.23
In2 0.7406 0.2409 0.2409  6 Er 3.17-3.25, 2 Zr 3.17-3.18, 1 In 3.49
In3 0.7538 0.9181 0.5897  1 Zr 3.15, 7 Er 3.18-3.23
In4 0.2462 0.0819 0.4103  1 Zr 3.15, 7 Er 3.18-3.23
In5 0.2462 0.4103 0.0819  1 Zr 3.15, 7 Er 3.18-3.23
In6 0.2594 0.7591 0.7591  6 Er 3.17-3.25, 2 Zr 3.17-3.18, 1 In 3.49
Er1 0.5000 0.8326 0.1674  8 In 3.17-3.23
Er2 0.5000 0.1674 0.8326  8 In 3.17-3.23
Er3 0.0000 0.3336 0.6664  8 In 3.22-3.23
Er4 0.5000 0.5000 0.5000  8 In 3.18-3.25
Er5 0.0000 0.6664 0.3336  8 In 3.22-3.23
Zr1 0.0000 0.0000 0.0000  8 In 3.15-3.18

Properties
- Raw total energy: -52.39 eV/cell
- ΔH_f (0 K): -0.383 eV/atom

***

Record 2
Below is a relaxed Er7ZrIn4 crystal, with properties calculated at the PBE level.

Lattice parameters (Å, degrees): 5.6404 8.9612 7.8325 69.01 68.90 71.66
Last column: nearest neighbours and their distance in Å.
Element x y z (fractional)
In1 0.5465 0.2961 0.6109  4 Er 2.96-3.23, 1 In 3.11
In2 0.3191 0.3438 0.0180  5 Er 2.96-3.14, 1 In 3.11
In3 0.6809 0.6562 0.9820  5 Er 2.96-3.14, 1 In 3.11
In4 0.4535 0.7039 0.3891  4 Er 2.96-3.23, 1 In 3.11
Er1 0.9287 0.4064 0.7362  5 In 3.14-3.45, 3 Er 3.32-3.44, 1 Zr 3.46
Er2 0.8012 0.8790 0.5187  4 In 3.39-3.79, 6 Er 3.44-3.59, 1 Zr 3.64
Er3 0.0713 0.5936 0.2638  5 In 3.14-3.45, 3 Er 3.32-3.44, 1 Zr 3.46
Er4 0.7512 0.2888 0.2088  4 In 2.96-3.12, 1 Zr 3.23
Er5 0.1988 0.1210 0.4813  4 In 3.39-3.79, 6 Er 3.44-3.59, 1 Zr 3.64
Er6 0.2488 0.7112 0.7912  4 In 2.96-3.12, 1 Zr 3.23
Er7 0.5000 0.0000 0.0000  2 Zr 2.82, 2 In 2.96
Zr1 0.0000 0.0000 0.0000  2 Er 2.82

Properties
- Raw total energy: -52.12 eV/cell
- ΔH_f (0 K): -0.056 eV/atom

***

Record 3
Below is a relaxed ErZr3In4 crystal, with properties calculated at the PBE level.

Lattice parameters (Å, degrees): 3.2111 3.2111 17.7949 90.00 90.00 90.00
Last column: nearest neighbours and their distance in Å.
Element x y z (fractional)
Zr1 0.5000 0.5000 0.5000  8 In 3.14, 4 Zr 3.21
Zr2 0.5000 0.5000 0.2559  8 In 3.14-3.16, 4 Zr 3.21
Zr3 0.5000 0.5000 0.7441  8 In 3.14-3.16, 4 Zr 3.21
In1 0.0000 0.0000 0.1325  4 Zr 3.16, 4 In 3.21, 4 Er 3.27
In2 0.0000 0.0000 0.3779  8 Zr 3.14, 4 In 3.21
In3 0.0000 0.0000 0.8675  4 Zr 3.16, 4 In 3.21, 4 Er 3.27
In4 0.0000 0.0000 0.6221  8 Zr 3.14, 4 In 3.21
Er1 0.5000 0.5000 0.0000  4 Er 3.21, 8 In 3.27

Properties
- Raw total energy: -43.82 eV/cell
- ΔH_f (0 K): -0.332 eV/atom

***

Record 4
Below is a relaxed ErZr4In5 crystal, with properties calculated at the PBE level.

Lattice parameters (Å, degrees): 3.2026 3.2026 22.2224 90.00 90.00 90.00
Last column: nearest neighbours and their distance in Å.
Element x y z (fractional)
Zr1 0.0000 0.0000 0.5983  8 In 3.14-3.15, 4 Zr 3.20
Zr2 0.0000 0.0000 0.4017  8 In 3.14-3.15, 4 Zr 3.20
Zr3 0.0000 0.0000 0.2056  8 In 3.14-3.16, 4 Zr 3.20
Zr4 0.0000 0.0000 0.7944  8 In 3.14-3.16, 4 Zr 3.20
Er1 0.0000 0.0000 0.0000  4 Er 3.20, 8 In 3.27
In1 0.5000 0.5000 0.3037  8 Zr 3.14, 4 In 3.20
In2 0.5000 0.5000 0.1063  4 Zr 3.16, 4 In 3.20, 4 Er 3.27
In3 0.5000 0.5000 0.5000  8 Zr 3.15, 4 In 3.20
In4 0.5000 0.5000 0.8937  4 Zr 3.16, 4 In 3.20, 4 Er 3.27
In5 0.5000 0.5000 0.6963  8 Zr 3.14, 4 In 3.20

Properties
- Raw total energy: -55.70 eV/cell
- ΔH_f (0 K): -0.326 eV/atom
- Excess energy over the best structure of this formula in the dataset: 0 meV/atom

***

Record 5
Below is a relaxed ErZr2In crystal, with properties calculated at the PBE level.

Lattice parameters (Å, degrees): 3.3154 3.3154 10.5735 80.98 80.98 60.00
Last column: nearest neighbours and their distance in Å.
Element x y z (fractional)
Zr1 0.2524 0.2524 0.2429  3 In 3.16, 3 Er 3.29, 6 Zr 3.32
Zr2 0.0813 0.0813 0.7560  3 In 3.18, 3 Er 3.27, 6 Zr 3.32
In1 0.6665 0.6665 0.0005  6 Zr 3.16-3.18, 6 In 3.32
Er1 0.4998 0.4998 0.5006  6 Zr 3.27-3.29, 6 Er 3.32

Properties
- Raw total energy: -24.50 eV/cell
- ΔH_f (0 K): -0.025 eV/atom
- Excess energy over the best structure of this formula in the dataset: 183 meV/atom

***

Record 6
Below is a relaxed ErZr2In crystal, with properties calculated at the PBE level.

Lattice parameters (Å, degrees): 5.1075 5.1075 5.1071 60.00 60.00 60.00
Last column: nearest neighbours and their distance in Å.
Element x y z (fractional)
Zr1 0.2501 0.2501 0.2498  4 Er 3.13, 4 In 3.13
Zr2 0.7499 0.7499 0.7502  4 Er 3.13, 4 In 3.13
In1 0.0000 0.0000 0.0000  8 Zr 3.13
Er1 0.5000 0.5000 0.5000  8 Zr 3.13

Properties
- Raw total energy: -24.53 eV/cell
- ΔH_f (0 K): -0.034 eV/atom
- Excess energy over the best structure of this formula in the dataset: 173 meV/atom

***

Record 7
Below is a relaxed Er4ZrIn2 crystal, with properties calculated at the PBE level.

Lattice parameters (Å, degrees): 5.3443 5.3443 9.0371 72.80 72.80 60.00
Last column: nearest neighbours and their distance in Å.
Element x y z (fractional)
Er1 0.1304 0.1304 0.6087  3 Zr 3.22, 7 Er 3.37-3.60
Er2 0.8696 0.8696 0.3913  3 Zr 3.22, 7 Er 3.37-3.60
Er3 0.7374 0.7374 0.7878  4 In 3.07-3.13, 1 Er 3.37
Er4 0.2626 0.2626 0.2122  4 In 3.07-3.13, 1 Er 3.37
In1 0.6169 0.6169 0.1492  1 Zr 2.98, 4 Er 3.07-3.13
In2 0.3831 0.3831 0.8508  1 Zr 2.98, 4 Er 3.07-3.13
Zr1 0.5000 0.5000 0.5000  2 In 2.98, 6 Er 3.22

Properties
- Raw total energy: -31.95 eV/cell
- ΔH_f (0 K): 0.047 eV/atom

***

Record 8
Below is a relaxed Er2ZrIn crystal, with properties calculated at the PBE level.

Lattice parameters (Å, degrees): 5.2996 5.2996 5.2996 60.00 60.00 60.00
Last column: nearest neighbours and their distance in Å.
Element x y z (fractional)
Zr1 0.0000 0.0000 0.0000  8 Er 3.25
In1 0.5000 0.5000 0.5000  8 Er 3.25
Er1 0.2500 0.2500 0.2500  4 Zr 3.25, 4 In 3.25
Er2 0.7500 0.7500 0.7500  4 Zr 3.25, 4 In 3.25

Properties
- Raw total energy: -20.71 eV/cell
- ΔH_f (0 K): -0.074 eV/atom
- Excess energy over the best structure of this formula in the dataset: 129 meV/atom

***

Record 9
Below is a relaxed Er2ZrIn crystal, with properties calculated at the PBE level.

Lattice parameters (Å, degrees): 3.4448 3.4448 8.9151 90.00 90.00 90.00
Last column: nearest neighbours and their distance in Å.
Element x y z (fractional)
Zr1 0.5000 0.5000 0.5000  8 Er 3.33, 4 Zr 3.44
Er1 0.0000 0.0000 0.7547  4 In 3.27, 4 Zr 3.33, 4 Er 3.44
Er2 0.0000 0.0000 0.2453  4 In 3.27, 4 Zr 3.33, 4 Er 3.44
In1 0.5000 0.5000 0.0000  8 Er 3.27, 4 In 3.44

Properties
- Raw total energy: -21.23 eV/cell
- ΔH_f (0 K): -0.204 eV/atom
- Excess energy over the best structure of this formula in the dataset: 0 meV/atom

***

Record 10
Below is a relaxed ErZrIn crystal, with properties calculated at the PBE level.

Lattice parameters (Å, degrees): 3.4023 3.4023 6.9471 104.17 104.17 90.00
Last column: nearest neighbours and their distance in Å.
Element x y z (fractional)
In1 0.6722 0.6722 0.3445  4 Zr 3.14, 4 Er 3.28, 4 In 3.40
Zr1 0.3270 0.3270 0.6539  4 In 3.14, 4 Er 3.31, 4 Zr 3.40
Er1 0.0008 0.0008 0.0016  4 In 3.28, 4 Zr 3.31, 4 Er 3.40

Properties
- Raw total energy: -16.56 eV/cell
- ΔH_f (0 K): -0.235 eV/atom
- Excess energy over the best structure of this formula in the dataset: 32 meV/atom

***

Record 11
Below is a relaxed ErZrIn crystal, with properties calculated at the PBE level.

Lattice parameters (Å, degrees): 5.6360 5.9002 5.9002 91.02 90.00 90.00
Last column: nearest neighbours and their distance in Å.
Element x y z (fractional)
In1 0.5000 0.8353 0.1647  1 In 2.77, 1 Er 2.82
In2 0.5000 0.1647 0.8353  1 In 2.77, 1 Er 2.82
Er1 0.5000 0.5000 0.5000  2 In 2.82, 4 Zr 3.10
Er2 0.0000 0.0000 0.0000  2 Zr 2.85, 4 In 3.14
Zr1 0.0000 0.3452 0.3452  1 Zr 2.56, 1 Er 2.85
Zr2 0.0000 0.6548 0.6548  1 Zr 2.56, 1 Er 2.85

Properties
- Raw total energy: -26.64 eV/cell
- ΔH_f (0 K): 0.843 eV/atom
- Excess energy over the best structure of this formula in the dataset: 1111 meV/atom

***

Record 12
Below is a relaxed ErZr4In5 crystal, with properties calculated at the PBE level.

Lattice parameters (Å, degrees): 7.4421 8.8104 7.5147 90.00 90.00 90.00
Last column: nearest neighbours and their distance in Å.
Element x y z (fractional)
Zr1 0.9521 0.0000 0.6793  3 Zr 2.69-2.91
Zr2 0.9521 0.0000 0.3207  3 Zr 2.69-2.91
Zr3 0.0479 0.5000 0.8207  3 Zr 2.69-2.91
Zr4 0.0479 0.5000 0.1793  3 Zr 2.69-2.91
Zr5 0.9937 0.6804 0.5000  5 Zr 2.91-3.18, 4 In 3.04-3.09
Zr6 0.9937 0.3196 0.5000  5 Zr 2.91-3.18, 4 In 3.04-3.09
Zr7 0.0063 0.1804 0.0000  5 Zr 2.91-3.18, 4 In 3.04-3.09
Zr8 0.0063 0.8196 0.0000  5 Zr 2.91-3.18, 4 In 3.04-3.09
In1 0.5869 0.0000 0.5000  2 Zr 3.03, 4 In 3.18
In2 0.4131 0.5000 0.0000  2 Zr 3.03, 4 In 3.18
In3 0.6917 0.7003 0.2179  3 In 3.02-3.28, 4 Zr 3.04-3.37, 2 Er 3.25-3.34
In4 0.3083 0.7997 0.7179  3 In 3.02-3.28, 4 Zr 3.04-3.37, 2 Er 3.25-3.34
In5 0.6917 0.7003 0.7821  3 In 3.02-3.28, 4 Zr 3.04-3.37, 2 Er 3.25-3.34
In6 0.6917 0.2997 0.2179  3 In 3.02-3.28, 4 Zr 3.04-3.37, 2 Er 3.25-3.34
In7 0.3083 0.2003 0.7179  3 In 3.02-3.28, 4 Zr 3.04-3.37, 2 Er 3.25-3.34
In8 0.6917 0.2997 0.7821  3 In 3.02-3.28, 4 Zr 3.04-3.37, 2 Er 3.25-3.34
In9 0.3083 0.7997 0.2821  3 In 3.02-3.28, 4 Zr 3.04-3.37, 2 Er 3.25-3.34
In10 0.3083 0.2003 0.2821  3 In 3.02-3.28, 4 Zr 3.04-3.37, 2 Er 3.25-3.34
Er1 0.4383 0.5000 0.5000  8 In 3.25-3.34
Er2 0.5617 0.0000 0.0000  8 In 3.25-3.34

Properties
- Raw total energy: -106.45 eV/cell
- ΔH_f (0 K): -0.078 eV/atom
- Excess energy over the best structure of this formula in the dataset: 248 meV/atom